No. 1
Density functional theory data (PBE) for crystalline SrSeS3 at its relaxed geometry. Values from VASP.

Geometry as Quantum ESPRESSO input:
```
&SYSTEM
  ibrav = 0, nat = 20, ntyp = 3
/
ATOMIC_SPECIES
Sr 87.62 Sr.upf
Se 78.96 Se.upf
S 32.06 S.upf
ATOMIC_POSITIONS crystal
Sr 0.111 0.042 0.000
Sr 0.389 0.542 0.500
Sr 0.611 0.458 0.000
Sr 0.889 0.958 0.500
Se 0.060 0.550 0.208
Se 0.440 0.050 0.708
Se 0.560 0.950 0.208
Se 0.940 0.450 0.708
S 0.012 0.375 0.498
S 0.176 0.819 0.296
S 0.212 0.849 0.695
S 0.288 0.349 0.195
S 0.324 0.319 0.796
S 0.488 0.875 0.998
S 0.512 0.125 0.498
S 0.676 0.681 0.296
S 0.712 0.651 0.695
S 0.788 0.151 0.195
S 0.824 0.181 0.796
S 0.988 0.625 0.998
CELL_PARAMETERS angstrom
7.678 0.000 0.000
0.000 6.858 0.000
0.000 0.000 9.866
```

Calculated values
Polymorph energy (0 for the lowest one) ... 0 meV/atom
Formation energy without anion corrections ... -3.78 eV/f.u.
Total energy ... -85.3 eV per cell
Total magnetization ... 0.00 μB per cell
ρ ... 3.4 g/cm3



No. 2
Density functional theory data (PBE) for crystalline Sr4Se3S at its relaxed geometry. Values from VASP.

Geometry as Quantum ESPRESSO input:
```
&SYSTEM
  ibrav = 0, nat = 16, ntyp = 3
/
ATOMIC_SPECIES
Sr 87.62 Sr.upf
Se 78.96 Se.upf
S 32.06 S.upf
ATOMIC_POSITIONS crystal
Sr 0.243 0.121 0.001
Sr 0.243 0.879 0.501
Sr 0.248 0.371 0.496
Sr 0.248 0.629 0.996
Sr 0.752 0.371 0.004
Sr 0.752 0.629 0.504
Sr 0.757 0.121 0.499
Sr 0.757 0.879 0.999
Se 0.000 0.374 0.750
Se 0.000 0.626 0.250
Se 0.500 0.124 0.750
Se 0.500 0.374 0.250
Se 0.500 0.626 0.750
Se 0.500 0.876 0.250
S 0.000 0.124 0.250
S 0.000 0.876 0.750
CELL_PARAMETERS angstrom
7.648 0.000 0.000
0.000 8.833 0.000
-2.549 0.000 7.208
```

Calculated values
Formation energy without anion corrections ... -16.69 eV/f.u.
Total energy ... -76.0 eV per cell
Total magnetization ... 0.00 μB per cell
ρ ... 4.2 g/cm3



No. 3
Density functional theory data (PBE) for crystalline Sr5SeS4 at its relaxed geometry. Values from VASP.

Geometry as Quantum ESPRESSO input:
```
&SYSTEM
  ibrav = 0, nat = 10, ntyp = 3
/
ATOMIC_SPECIES
Sr 87.62 Sr.upf
Se 78.96 Se.upf
S 32.06 S.upf
ATOMIC_POSITIONS crystal
Sr 0.000 0.000 0.000
Sr 0.202 0.202 0.805
Sr 0.397 0.397 0.604
Sr 0.603 0.603 0.396
Sr 0.798 0.798 0.195
Se 0.000 0.000 0.500
S 0.201 0.201 0.298
S 0.401 0.401 0.099
S 0.599 0.599 0.901
S 0.799 0.799 0.702
CELL_PARAMETERS angstrom
7.168 -2.160 0.000
7.168 2.160 0.000
-5.217 0.000 9.218
```

Calculated values
Formation energy without anion corrections ... -21.31 eV/f.u.
Total energy ... -49.7 eV per cell
Total magnetization ... 0.00 μB per cell
ρ ... 3.8 g/cm3



No. 4
Density functional theory data (PBE) for crystalline Sr3SeS2 at its relaxed geometry. Values from VASP.

Geometry as Quantum ESPRESSO input:
```
&SYSTEM
  ibrav = 0, nat = 6, ntyp = 3
/
ATOMIC_SPECIES
Sr 87.62 Sr.upf
Se 78.96 Se.upf
S 32.06 S.upf
ATOMIC_POSITIONS crystal
Sr 0.000 0.000 0.000
Sr 0.328 0.328 0.000
Sr 0.672 0.672 0.000
Se 0.500 0.000 0.500
S 0.166 0.666 0.500
S 0.834 0.334 0.500
CELL_PARAMETERS angstrom
-2.170 3.076 6.519
2.170 -3.076 6.519
2.170 3.076 -6.519
```

Calculated values
Formation energy without anion corrections ... -12.71 eV/f.u.
Total energy ... -29.5 eV per cell
Total magnetization ... 0.00 μB per cell
ρ ... 3.9 g/cm3



No. 5
Density functional theory data (PBE) for crystalline SrSe2S at its relaxed geometry. Values from VASP.

Geometry as Quantum ESPRESSO input:
```
&SYSTEM
  ibrav = 0, nat = 4, ntyp = 3
/
ATOMIC_SPECIES
Sr 87.62 Sr.upf
Se 78.96 Se.upf
S 32.06 S.upf
ATOMIC_POSITIONS crystal
Sr 0.000 0.000 0.000
Se 0.524 0.500 0.567
Se 0.533 0.500 0.115
S 0.338 0.000 0.575
CELL_PARAMETERS angstrom
4.290 0.000 0.000
0.000 4.608 0.000
-1.678 0.000 5.400
```

Calculated values
Formation energy without anion corrections ... -3.83 eV/f.u.
Total energy ... -16.6 eV per cell
Total magnetization ... 0.00 μB per cell
ρ ... 4.3 g/cm3



No. 6
Density functional theory data (PBE) for crystalline SrSe2S at its relaxed geometry. Values from VASP.

Geometry as Quantum ESPRESSO input:
```
&SYSTEM
  ibrav = 0, nat = 4, ntyp = 3
/
ATOMIC_SPECIES
Sr 87.62 Sr.upf
Se 78.96 Se.upf
S 32.06 S.upf
ATOMIC_POSITIONS crystal
Sr 0.000 0.000 0.000
Se 0.117 0.117 0.117
Se 0.883 0.883 0.883
S 0.500 0.500 0.500
CELL_PARAMETERS angstrom
2.042 1.179 8.650
-2.042 1.179 8.650
0.000 -2.357 8.650
```

Calculated values
Formation energy without anion corrections ... 0.62 eV/f.u.
Total energy ... -12.2 eV per cell
Total magnetization ... 0.00 μB per cell
ρ ... 3.7 g/cm3



The highest formation energy without anion corrections belongs to which entry? number 6



Among the records above, which one has the highest ρ? number 5



Repeat the second record exactly.
Density functional theory data (PBE) for crystalline Sr4Se3S at its relaxed geometry. Values from VASP.

Geometry as Quantum ESPRESSO input:
```
&SYSTEM
  ibrav = 0, nat = 16, ntyp = 3
/
ATOMIC_SPECIES
Sr 87.62 Sr.upf
Se 78.96 Se.upf
S 32.06 S.upf
ATOMIC_POSITIONS crystal
Sr 0.243 0.121 0.001
Sr 0.243 0.879 0.501
Sr 0.248 0.371 0.496
Sr 0.248 0.629 0.996
Sr 0.752 0.371 0.004
Sr 0.752 0.629 0.504
Sr 0.757 0.121 0.499
Sr 0.757 0.879 0.999
Se 0.000 0.374 0.750
Se 0.000 0.626 0.250
Se 0.500 0.124 0.750
Se 0.500 0.374 0.250
Se 0.500 0.626 0.750
Se 0.500 0.876 0.250
S 0.000 0.124 0.250
S 0.000 0.876 0.750
CELL_PARAMETERS angstrom
7.648 0.000 0.000
0.000 8.833 0.000
-2.549 0.000 7.208
```

Calculated values
Formation energy without anion corrections ... -16.69 eV/f.u.
Total energy ... -76.0 eV per cell
Total magnetization ... 0.00 μB per cell
ρ ... 4.2 g/cm3